[1]
# LiZnSe | Alexandria | PBE | optimized geometry
# Final energy = -69.24 eV for the cell shown
# Formation energy without anion corrections = -0.661 eV per atom
# M_tot = 0.0 Bohr magnetons per cell
data_LiZnSe
_symmetry_space_group_name_H-M 'C 1 c 1'
_symmetry_Int_Tables_number 9
_cell_length_a 8.1438
_cell_length_b 8.9396
_cell_length_c 7.6591
_cell_angle_alpha 90.00
_cell_angle_beta 120.81
_cell_angle_gamma 90.00
loop_
_symmetry_equiv_pos_as_xyz
'x,y,z'
'x,-y,z+1/2'
'x+1/2,y+1/2,z'
'x+1/2,-y+1/2,z+1/2'
loop_
_atom_site_label
_atom_site_type_symbol
_atom_site_fract_x
_atom_site_fract_y
_atom_site_fract_z
_atom_site_occupancy
Li1 Li 0.0000 0.2009 0.0000 1
Li2 Li 0.3782 0.2566 0.0062 1
Zn1 Zn 0.2441 0.3893 0.6163 1
Zn2 Zn 0.2678 0.1149 0.6090 1
Se1 Se 0.0615 0.4401 0.8131 1
Se2 Se 0.0712 0.0239 0.7773 1

[2]
# LiZn3Se | Alexandria | PBE | optimized geometry
# Final energy = -7.24 eV for the cell shown
# Formation energy without anion corrections = 0.397 eV per atom
# M_tot = 0.0 Bohr magnetons per cell
data_LiZn3Se
_symmetry_space_group_name_H-M 'P m -3 m'
_symmetry_Int_Tables_number 221
_symmetry_space_group_name_Hall '-P 4 2 3'
_cell_length_a 5.0819
_cell_length_b 5.0819
_cell_length_c 5.0819
_cell_angle_alpha 90.00
_cell_angle_beta 90.00
_cell_angle_gamma 90.00
loop_
_atom_site_label
_atom_site_type_symbol
_atom_site_fract_x
_atom_site_fract_y
_atom_site_fract_z
_atom_site_occupancy
Li1 Li 0.0000 0.0000 0.0000 1
Zn1 Zn 0.0000 0.5000 0.5000 1
Se1 Se 0.5000 0.5000 0.5000 1

> M_tot of number 2 (LiZn3Se)?

0.0 Bohr magnetons per cell